[1]
Material: Ac6PmSm5
Method: DFT, PBE
State: optimized geometry

a b c (Å): 5.481 10.445 16.357
angles (deg): 90.00 90.00 90.00
Space group Immm (No. 71)
Inequivalent atoms, fractional coordinates:
1 Ac 0.000 0.249 0.000 x4
2 Ac 0.000 0.250 0.333 x8
3 Pm 0.000 0.000 0.500 x2
4 Sm 0.000 0.000 0.167 x4
5 Sm 0.000 0.500 0.167 x4
6 Sm 0.000 0.500 0.500 x2

Summary:
* V: 39.0 Å³ per atom
* VASP energy: -0.3222 Ry per atom
* Fermi-level density of states: 34.4 states/eV/cell



[2]
Material: AcPm3Sm7
Method: DFT, PBE
State: optimized geometry

a b c (Å): 6.106 11.337 11.448
angles (deg): 90.00 90.00 90.00
Space group Immm (No. 71)
Inequivalent atoms, fractional coordinates:
1 Ac 0.000 0.000 0.000 x2
2 Pm 0.000 0.212 0.500 x4
3 Pm 0.000 0.500 0.000 x2
4 Sm 0.000 0.000 0.304 x4
5 Sm 0.000 0.305 0.208 x8
6 Sm 0.000 0.500 0.500 x2

Summary:
* V: 36.0 Å³ per atom
* VASP energy: -0.3246 Ry per atom
* Fermi-level density of states: 32.3 states/eV/cell



[3]
Material: Ac2PmSm6
Method: DFT, PBE
State: optimized geometry

a b c (Å): 15.614 10.174 9.265
angles (deg): 90.00 117.85 90.00
Space group C2/c (No. 15)
Inequivalent atoms, fractional coordinates:
1 Ac 0.093 0.079 0.180 x8
2 Pm 0.000 0.259 0.750 x4
3 Sm 0.082 0.420 0.164 x8
4 Sm 0.165 0.257 0.581 x8
5 Sm 0.238 0.410 0.984 x8

Summary:
* V: 36.1 Å³ per atom
* VASP energy: -0.3304 Ry per atom
* Fermi-level density of states: 53.2 states/eV/cell



[4]
Material: Ac2PmSm6
Method: DFT, PBE
State: optimized geometry

a b c (Å): 13.455 7.762 6.355
angles (deg): 90.00 90.09 90.00
Space group C2/m (No. 12)
Inequivalent atoms, fractional coordinates:
1 Ac 0.166 0.000 0.208 x4
2 Pm 0.000 0.500 0.000 x2
3 Sm 0.093 0.221 0.704 x8
4 Sm 0.187 0.500 0.295 x4

Summary:
* V: 36.9 Å³ per atom
* VASP energy: -0.3224 Ry per atom
* Fermi-level density of states: 27.2 states/eV/cell



[5]
Material: Ac6PmSm3
Method: DFT, PBE
State: optimized geometry

a b c (Å): 8.142 10.098 12.978
angles (deg): 90.00 128.86 90.00
Space group P2_1/c (No. 14)
Inequivalent atoms, fractional coordinates:
1 Ac 0.076 0.166 0.326 x4
2 Ac 0.145 0.132 0.634 x4
3 Ac 0.375 0.631 0.865 x4
4 Pm 0.500 0.000 0.000 x2
5 Sm 0.000 0.000 0.000 x2
6 Sm 0.406 0.673 0.156 x4

Summary:
* V: 41.5 Å³ per atom
* VASP energy: -0.3044 Ry per atom
* Fermi-level density of states: 28.3 states/eV/cell



[6]
Material: AcPm4Sm7
Method: DFT, PBE
State: optimized geometry

a b c (Å): 12.383 6.204 12.845
angles (deg): 90.00 118.71 90.00
Space group C2/m (No. 12)
Inequivalent atoms, fractional coordinates:
1 Ac 0.000 0.000 0.000 x2
2 Pm 0.070 0.500 0.321 x4
3 Pm 0.144 0.000 0.776 x4
4 Sm 0.000 0.500 0.000 x2
5 Sm 0.127 0.000 0.497 x4
6 Sm 0.204 0.500 0.919 x4
7 Sm 0.221 0.500 0.664 x4

Summary:
* V: 36.1 Å³ per atom
* VASP energy: -0.3244 Ry per atom
* Fermi-level density of states: 36.9 states/eV/cell



[7]
Material: Ac8Pm2Sm3
Method: DFT, PBE
State: optimized geometry

a b c (Å): 14.092 12.602 6.502
angles (deg): 90.00 111.97 90.00
Space group C2/m (No. 12)
Inequivalent atoms, fractional coordinates:
1 Ac 0.067 0.000 0.297 x4
2 Ac 0.144 0.500 0.588 x4
3 Ac 0.160 0.260 0.153 x8
4 Pm 0.200 0.000 0.858 x4
5 Sm 0.000 0.243 0.500 x4
6 Sm 0.000 0.500 0.000 x2

Summary:
* V: 41.2 Å³ per atom
* VASP energy: -0.3064 Ry per atom
* Fermi-level density of states: 45.9 states/eV/cell



[8]
Material: Ac5Pm2Sm6
Method: DFT, PBE
State: optimized geometry

a b c (Å): 13.397 14.694 5.137
angles (deg): 90.00 90.00 90.00
Space group Pbam (No. 55)
Inequivalent atoms, fractional coordinates:
1 Ac 0.000 0.000 0.000 x2
2 Ac 0.104 0.393 0.000 x4
3 Ac 0.110 0.775 0.000 x4
4 Pm 0.102 0.193 0.500 x4
5 Sm 0.098 0.592 0.500 x4
6 Sm 0.196 0.935 0.500 x4
7 Sm 0.233 0.088 0.000 x4

Summary:
* V: 38.9 Å³ per atom
* VASP energy: -0.3185 Ry per atom
* Fermi-level density of states: 39.8 states/eV/cell



[9]
Material: Ac6Pm2Sm5
Method: DFT, PBE
State: optimized geometry

a b c (Å): 11.440 23.883 3.772
angles (deg): 90.00 90.00 90.00
Space group Pbam (No. 55)
Inequivalent atoms, fractional coordinates:
1 Ac 0.020 0.112 0.000 x4
2 Ac 0.147 0.386 0.000 x4
3 Ac 0.166 0.633 0.500 x4
4 Pm 0.163 0.768 0.000 x4
5 Sm 0.000 0.500 0.500 x2
6 Sm 0.087 0.249 0.500 x4
7 Sm 0.166 0.996 0.500 x4

Summary:
* V: 39.6 Å³ per atom
* VASP energy: -0.3153 Ry per atom
* Fermi-level density of states: 40.5 states/eV/cell



[10]
Material: Ac2PmSm
Method: DFT, PBE
State: optimized geometry

a b c (Å): 3.7472 3.7472 39.5964
angles (deg): 90.00 90.00 120.00
Space group R-3m (No. 166, hexagonal axes)
Inequivalent atoms, fractional coordinates:
1 Ac 0.0000 0.0000 0.0885 x6
2 Pm 0.0000 0.0000 0.5000 x3
3 Sm 0.0000 0.0000 0.0000 x3

Summary:
* V: 40.1 Å³ per atom
* VASP energy: -0.3094 Ry per atom
* Fermi-level density of states: 22.2 states/eV/cell



[11]
Material: Ac6PmSm
Method: DFT, PBE
State: optimized geometry

a b c (Å): 9.851 7.797 10.157
angles (deg): 90.00 107.98 90.00
Space group C2/m (No. 12)
Inequivalent atoms, fractional coordinates:
1 Ac 0.140 0.000 0.431 x4
2 Ac 0.206 0.242 0.803 x8
3 Pm 0.000 0.000 0.000 x2
4 Sm 0.000 0.500 0.500 x2

Summary:
* V: 46.4 Å³ per atom
* VASP energy: -0.2880 Ry per atom
* Fermi-level density of states: 28.0 states/eV/cell



[12]
Material: AcPm8Sm3
Method: DFT, PBE
State: optimized geometry

a b c (Å): 6.431 8.726 8.745
angles (deg): 85.44 68.46 68.55
Space group P1 (No. 1)
Inequivalent atoms, fractional coordinates:
1 Ac 0.000 0.000 0.000 x1
2 Pm 0.328 0.170 0.170 x1
3 Pm 0.335 0.582 0.087 x1
4 Pm 0.336 0.087 0.581 x1
5 Pm 0.336 0.664 0.664 x1
6 Pm 0.664 0.336 0.336 x1
7 Pm 0.667 0.830 0.831 x1
8 Pm 0.998 0.424 0.918 x1
9 Pm 0.998 0.918 0.424 x1
10 Sm 0.661 0.255 0.751 x1
11 Sm 0.661 0.751 0.255 x1
12 Sm 0.998 0.500 0.500 x1

Summary:
* V: 35.3 Å³ per atom
* VASP energy: -0.3420 Ry per atom
* Fermi-level density of states: 20.5 states/eV/cell